Record 1
This record from Alexandria via LeMat-Bulk describes PmSm2Ho2Sc2 after structural relaxation. The functional is PBE.

a = 3.4636 Å, b = 11.3161 Å, c = 14.0388 Å
α = 155.11°, β = 90.00°, γ = 98.80°
Atoms (fractional coordinates):
Sm 0.3821 0.7641 0.1192
Sm 0.6179 0.2359 0.8808
Sc 0.7615 0.5229 0.7357
Ho 0.5934 0.1868 0.2356
Ho 0.4066 0.8132 0.7644
Pm 0.0000 0.0000 0.5000
Sc 0.2385 0.4771 0.2643

M_tot in μB/f.u.: 0.00
Density of states at the Fermi level in states/eV per cell: 10.56
Symmetry: C2/m (12)

***

Record 2
This record from Alexandria via LeMat-Bulk describes PmSmHo2Sc4 after structural relaxation. The functional is PBE.

a = 4.9463 Å, b = 4.9488 Å, c = 10.4665 Å
α = 61.80°, β = 90.00°, γ = 90.00°
Atoms (fractional coordinates):
Ho 0.5000 0.0000 0.5000
Ho 0.0000 0.0000 0.0000
Sc 0.0000 0.7497 0.7502
Sc 0.5000 0.2498 0.7503
Sc 0.0000 0.2503 0.2498
Sm 0.5000 0.5000 0.0000
Pm 0.0000 0.5000 0.5000
Sc 0.5000 0.7502 0.2497

M_tot in μB/f.u.: 0.00
Density of states at the Fermi level in states/eV per cell: 12.85
Symmetry: P4/mmm (123)

***

Record 3
This record from Alexandria via LeMat-Bulk describes Pm6SmHo2Sc after structural relaxation. The functional is PBE.

a = 9.3791 Å, b = 8.9184 Å, c = 8.9184 Å
α = 117.42°, β = 93.02°, γ = 93.02°
Atoms (fractional coordinates):
Sc 0.2500 0.4209 0.5791
Pm 0.4474 0.2326 0.8763
Pm 0.6950 0.9924 0.5585
Pm 0.6119 0.4857 0.7112
Pm 0.0526 0.1237 0.7674
Pm 0.3050 0.0076 0.4415
Sm 0.2500 0.9735 0.0265
Ho 0.4509 0.7931 0.6926
Pm 0.9474 0.8763 0.2326
Ho 0.0491 0.3074 0.2069
Sm 0.7500 0.0265 0.9735
Pm 0.8050 0.4415 0.0076
Sc 0.7500 0.5791 0.4209
Ho 0.5491 0.2069 0.3074
Ho 0.9509 0.6926 0.7931
Pm 0.1950 0.5585 0.9924
Pm 0.8881 0.2888 0.5143
Pm 0.1119 0.7112 0.4857
Pm 0.3881 0.5143 0.2888
Pm 0.5526 0.7674 0.1237

M_tot in μB/f.u.: 0.00
Density of states at the Fermi level in states/eV per cell: 28.67
Symmetry: C2/c (15)

***

Record 4
This record from Alexandria via LeMat-Bulk describes PmSm4Ho2Sc after structural relaxation. The functional is PBE.

a = 3.5743 Å, b = 11.7636 Å, c = 6.1508 Å
α = 79.82°, β = 90.00°, γ = 90.00°
Atoms (fractional coordinates):
Ho 0.0000 0.0000 0.0000
Sm 0.5000 0.7453 0.2530
Pm 0.5000 0.5000 0.0000
Sm 0.0000 0.7508 0.7477
Ho 0.5000 0.0000 0.5000
Sc 0.0000 0.5000 0.5000
Sm 0.0000 0.2492 0.2523
Sm 0.5000 0.2547 0.7470

M_tot in μB/f.u.: 0.00
Density of states at the Fermi level in states/eV per cell: 11.20
Symmetry: P2/m (10)

***

Record 5
This record from Alexandria via LeMat-Bulk describes PmSm5Ho2Sc after structural relaxation. The functional is PBE.

a = 5.6119 Å, b = 10.4383 Å, c = 10.4643 Å
α = 90.00°, β = 90.00°, γ = 105.59°
Atoms (fractional coordinates):
Sm 0.2763 0.5527 0.3213
Ho 0.1126 0.2252 0.3108
Sc 0.8052 0.6104 0.5148
Sc 0.1948 0.3896 0.0148
Sm 0.3755 0.7510 0.0194
Sm 0.9827 0.9653 0.5157
Ho 0.8849 0.7698 0.2366
Sm 0.7015 0.4030 0.2065
Pm 0.5906 0.1811 0.9572
Ho 0.8874 0.7748 0.8108
Pm 0.4094 0.8189 0.4572
Sm 0.5165 0.0329 0.2416
Sm 0.7237 0.4473 0.8213
Sm 0.4835 0.9671 0.7416
Sm 0.2985 0.5970 0.7065
Sm 0.0173 0.0347 0.0157
Ho 0.1151 0.2302 0.7366
Sm 0.6245 0.2490 0.5194

M_tot in μB/f.u.: 0.00
Density of states at the Fermi level in states/eV per cell: 28.51
Symmetry: Cmc2_1 (36)

***

Record 6
This record from Alexandria via LeMat-Bulk describes Pm2Sm4HoSc after structural relaxation. The functional is PBE.

a = 5.0714 Å, b = 5.0644 Å, c = 11.2619 Å
α = 63.28°, β = 90.00°, γ = 90.00°
Atoms (fractional coordinates):
Sc 0.0000 0.5000 0.5000
Pm 0.5000 0.0000 0.5000
Pm 0.0000 0.0000 0.0000
Sm 0.5000 0.2544 0.7457
Sm 0.0000 0.2452 0.2546
Sm 0.0000 0.7548 0.7454
Ho 0.5000 0.5000 0.0000
Sm 0.5000 0.7456 0.2543

M_tot in μB/f.u.: 0.00
Density of states at the Fermi level in states/eV per cell: 11.61
Symmetry: P4/mmm (123)

***

no.,E_tot (eV per atom)
1,-5.01
2,-5.44
3,-4.74
4,-4.86
5,-4.71
6,-4.88